1.
{"formula": "GaHN2", "functional": "PBE", "state": "relaxed", "space_group": "R-3m", "magmom_total_mub_per_cell": 0.00, "cell": [[1.583, 0.914, 4.375], [-1.583, 0.914, 4.375], [0.000, -1.828, 4.375]], "species": ["Ga", "H", "N", "N"], "frac_coords": [[0.000, 0.000, 0.000], [0.500, 0.500, 0.500], [0.406, 0.406, 0.406], [0.594, 0.594, 0.594]]}

=====

2.
{"formula": "GaHN2", "functional": "PBE", "state": "relaxed", "space_group": "I-42d", "magmom_total_mub_per_cell": 0.00, "cell": [[-1.855, 1.855, 4.938], [1.855, -1.855, 4.938], [1.855, 1.855, -4.938]], "species": ["Ga", "Ga", "H", "H", "N", "N", "N", "N"], "frac_coords": [[0.000, 0.000, 0.000], [0.750, 0.250, 0.500], [0.250, 0.750, 0.500], [0.500, 0.500, 0.000], [0.201, 0.625, 0.076], [0.375, 0.451, 0.576], [0.549, 0.125, 0.924], [0.875, 0.799, 0.424]]}

=====

3.
{"formula": "GaHN2", "functional": "PBE", "state": "relaxed", "space_group": "R-3m", "magmom_total_mub_per_cell": 0.00, "cell": [[1.466, 0.846, 5.161], [-1.466, 0.846, 5.161], [0.000, -1.693, 5.161]], "species": ["Ga", "H", "N", "N"], "frac_coords": [[0.000, 0.000, 0.000], [0.500, 0.500, 0.500], [0.147, 0.147, 0.147], [0.853, 0.853, 0.853]]}

=====

The structure with the greatest stability is 1.

=====

1.
{"formula": "GaH3N", "functional": "PBE", "state": "relaxed", "space_group": "Pm-3m", "magmom_total_mub_per_cell": 0.00, "cell": [[3.282, 0.000, 0.000], [0.000, 3.282, 0.000], [0.000, 0.000, 3.282]], "species": ["Ga", "H", "H", "H", "N"], "frac_coords": [[0.000, 0.000, 0.000], [0.000, 0.500, 0.500], [0.500, 0.000, 0.500], [0.500, 0.500, 0.000], [0.500, 0.500, 0.500]]}

=====

2.
{"formula": "GaH3N", "functional": "PBE", "state": "relaxed", "space_group": "Pm-3m", "magmom_total_mub_per_cell": 2.97, "cell": [[3.603, 0.000, 0.000], [0.000, 3.603, 0.000], [0.000, 0.000, 3.603]], "species": ["Ga", "H", "H", "H", "N"], "frac_coords": [[0.000, 0.000, 0.000], [0.000, 0.000, 0.500], [0.000, 0.500, 0.000], [0.500, 0.000, 0.000], [0.500, 0.500, 0.500]]}

=====

The structure with the greatest stability is 1.

=====

1.
{"formula": "GaHN", "functional": "PBE", "state": "relaxed", "space_group": "I4mm", "magmom_total_mub_per_cell": 0.00, "cell": [[-1.482, 1.482, 4.060], [1.482, -1.482, 4.060], [1.482, 1.482, -4.060]], "species": ["Ga", "H", "N"], "frac_coords": [[0.000, 0.000, 0.000], [0.695, 0.695, 0.000], [0.562, 0.562, 0.000]]}

=====

2.
{"formula": "GaHN", "functional": "PBE", "state": "relaxed", "space_group": "P2_1/c", "magmom_total_mub_per_cell": 0.00, "cell": [[4.843, 0.000, 0.000], [0.000, 5.327, 0.000], [-2.551, 0.000, 5.711]], "species": ["Ga", "Ga", "Ga", "Ga", "H", "H", "H", "H", "N", "N", "N", "N"], "frac_coords": [[0.233, 0.072, 0.422], [0.233, 0.428, 0.922], [0.767, 0.572, 0.078], [0.767, 0.928, 0.578], [0.099, 0.645, 0.479], [0.099, 0.855, 0.979], [0.901, 0.145, 0.021], [0.901, 0.355, 0.521], [0.052, 0.227, 0.630], [0.052, 0.273, 0.130], [0.948, 0.727, 0.870], [0.948, 0.773, 0.370]]}

=====

The structure with the greatest stability is 2.

=====

1.
{"formula": "Ga2H6N", "functional": "PBE", "state": "relaxed", "space_group": "P1", "magmom_total_mub_per_cell": 0.00, "cell": [[3.600, 0.000, 0.000], [0.002, 3.728, 0.000], [1.785, 1.820, 6.654]], "species": ["Ga", "Ga", "H", "H", "H", "H", "H", "H", "N"], "frac_coords": [[0.000, 0.000, 0.000], [0.449, 0.450, 0.102], [0.127, 0.124, 0.748], [0.322, 0.326, 0.354], [0.520, 0.521, 0.644], [0.612, 0.929, 0.458], [0.851, 0.845, 0.641], [0.941, 0.606, 0.460], [0.731, 0.725, 0.551]]}

=====

2.
{"formula": "Ga2H6N", "functional": "PBE", "state": "relaxed", "space_group": "I4/mmm", "magmom_total_mub_per_cell": 0.00, "cell": [[-2.210, 2.210, 4.042], [2.210, -2.210, 4.042], [2.210, 2.210, -4.042]], "species": ["Ga", "Ga", "H", "H", "H", "H", "H", "H", "N"], "frac_coords": [[0.250, 0.750, 0.500], [0.750, 0.250, 0.500], [0.172, 0.172, 0.000], [0.202, 0.202, 0.405], [0.202, 0.798, 0.000], [0.798, 0.202, 0.000], [0.798, 0.798, 0.595], [0.828, 0.828, 0.000], [0.000, 0.000, 0.000]]}

=====

The structure with the greatest stability is 1.

=====

1.
{"formula": "GaPHPtN", "functional": "PBE", "state": "relaxed", "space_group": "Amm2", "magmom_total_mub_per_cell": 0.00, "cell": [[2.935, 0.000, 0.000], [0.000, 1.543, 6.778], [0.000, -1.543, 6.778]], "species": ["Ga", "P", "H", "Pt", "N"], "frac_coords": [[0.000, 0.000, 0.000], [0.000, 0.809, 0.809], [0.000, 0.335, 0.335], [0.500, 0.680, 0.680], [0.500, 0.522, 0.522]]}

=====

2.
{"formula": "GaPHPtN", "functional": "PBE", "state": "relaxed", "space_group": "Pm", "magmom_total_mub_per_cell": 0.00, "cell": [[3.383, 0.000, 0.000], [0.000, 3.081, 0.000], [-1.308, 0.000, 6.397]], "species": ["Ga", "P", "H", "Pt", "N"], "frac_coords": [[0.000, 0.000, 0.000], [0.430, 0.000, 0.584], [0.847, 0.000, 0.587], [0.195, 0.500, 0.325], [0.434, 0.000, 0.835]]}

=====

The structure with the greatest stability is 2.

=====

1.
{"formula": "GaPHPtN", "functional": "PBE", "state": "relaxed", "space_group": "P1", "magmom_total_mub_per_cell": 0.00, "cell": [[3.120, 0.000, 0.000], [1.506, 4.440, 0.000], [1.528, 0.117, 4.736]], "species": ["Ga", "P", "H", "Pt", "N"], "frac_coords": [[0.000, 0.000, 0.000], [0.973, 0.487, 0.543], [0.680, 0.581, 0.025], [0.322, 0.896, 0.449], [0.841, 0.410, 0.883]]}

=====

2.
{"formula": "GaPHPtN", "functional": "PBE", "state": "relaxed", "space_group": "P1", "magmom_total_mub_per_cell": 0.00, "cell": [[4.143, 0.000, 0.000], [0.878, 4.086, 0.000], [1.851, 0.273, 3.969]], "species": ["Ga", "P", "H", "Pt", "N"], "frac_coords": [[0.000, 0.000, 0.000], [0.029, 0.556, 0.431], [0.593, 0.690, 0.952], [0.503, 0.254, 0.549], [0.772, 0.822, 0.759]]}

=====

The structure with the greatest stability is 1.

=====

1.
{"formula": "GaPHPtN", "functional": "PBE", "state": "relaxed", "space_group": "Pm", "magmom_total_mub_per_cell": 0.00, "cell": [[4.063, 0.000, 0.000], [0.000, 3.216, 0.000], [-0.596, 0.000, 5.717]], "species": ["Ga", "P", "H", "Pt", "N"], "frac_coords": [[0.000, 0.000, 0.000], [0.545, 0.000, 0.230], [0.254, 0.500, 0.743], [0.710, 0.500, 0.492], [0.025, 0.500, 0.808]]}

=====

2.
{"formula": "GaPHPtN", "functional": "PBE", "state": "relaxed", "space_group": "Cm", "magmom_total_mub_per_cell": 0.00, "cell": [[2.948, -1.702, 0.000], [2.948, 1.702, 0.000], [-0.065, 0.000, 7.506]], "species": ["Ga", "P", "H", "Pt", "N"], "frac_coords": [[0.000, 0.000, 0.000], [0.004, 0.004, 0.319], [0.331, 0.331, 0.791], [0.673, 0.673, 0.463], [0.333, 0.333, 0.930]]}

=====

The structure with the greatest stability is 2.

=====

1.
{"formula": "GaPHPtN", "functional": "PBE", "state": "relaxed", "space_group": "Pm", "magmom_total_mub_per_cell": 0.00, "cell": [[3.481, 0.000, 0.000], [0.000, 3.242, 0.000], [-0.510, 0.000, 5.927]], "species": ["Ga", "P", "H", "Pt", "N"], "frac_coords": [[0.000, 0.000, 0.000], [0.438, 0.500, 0.389], [0.971, 0.000, 0.609], [0.461, 0.000, 0.671], [0.066, 0.500, 0.199]]}

=====

2.
{"formula": "GaPHPtN", "functional": "PBE", "state": "relaxed", "space_group": "P3m1", "magmom_total_mub_per_cell": 0.00, "cell": [[3.213, 0.000, 0.000], [-1.606, 2.782, 0.000], [0.000, 0.000, 8.857]], "species": ["Ga", "P", "H", "Pt", "N"], "frac_coords": [[0.000, 0.000, 0.000], [0.000, 0.000, 0.372], [0.333, 0.667, 0.635], [0.667, 0.333, 0.531], [0.667, 0.333, 0.995]]}

=====

3.
{"formula": "GaPHPtN", "functional": "PBE", "state": "relaxed", "space_group": "P1", "magmom_total_mub_per_cell": 0.00, "cell": [[3.218, 0.000, 0.000], [-1.602, 3.472, 0.000], [-0.038, -1.840, 6.230]], "species": ["Ga", "P", "H", "Pt", "N"], "frac_coords": [[0.000, 0.000, 0.000], [0.377, 0.763, 0.564], [0.796, 0.620, 0.199], [0.019, 0.052, 0.390], [0.461, 0.926, 0.830]]}

=====

4.
{"formula": "GaPHPtN", "functional": "PBE", "state": "relaxed", "space_group": "P1", "magmom_total_mub_per_cell": 0.00, "cell": [[3.405, 0.000, 0.000], [1.701, 2.950, 0.000], [1.678, -0.927, 7.492]], "species": ["Ga", "P", "H", "Pt", "N"], "frac_coords": [[0.000, 0.000, 0.000], [0.208, 0.900, 0.680], [0.531, 0.732, 0.208], [0.636, 0.188, 0.535], [0.622, 0.688, 0.069]]}

=====

The structure with the greatest stability is 4.